1.
DFT (PBE) results for a relaxed structure of ScCdCu.

a = 8.0203 Å, b = 4.6271 Å, c = 6.1075 Å
α = 90.00°, β = 93.26°, γ = 90.00°
Closest atoms and distances in Å follow each position.
Space group C2/m (No. 12)
Symmetry-distinct sites (fractional):
Sc: 0.0116 0.0000 0.2695  1 Sc 2.83, 5 Cu 2.88-3.10, 6 Cd 3.13-3.14
Cd: 0.1665 0.5000 0.0007  3 Cd 2.67
Cu: 0.1654 0.5000 0.4998  3 Cu 2.65-2.68, 3 Sc 2.88-2.94

## Properties
formation enthalpy at 0 K = -0.111 eV per atom
M_tot = 0.00 μB per formula unit
final energy = -3.8920 eV per atom
D(E_F) = 0.627 states/eV per atom
theoretical density = 6.484 Mg/m³

2.
DFT (PBE) results for a relaxed structure of Sc11Cd9Cu4.

a = 13.9235 Å, b = 20.7914 Å, c = 3.4085 Å
α = 90.00°, β = 90.00°, γ = 90.00°
Closest atoms and distances in Å follow each position.
Space group Cmmm (No. 65)
Symmetry-distinct sites (fractional):
Sc: 0.0000 0.0000 0.0000  8 Cd 3.03, 2 Sc 3.33
Sc: 0.0000 0.1602 0.0000  8 Cd 3.07-3.18, 5 Sc 3.33-3.44
Sc: 0.0000 0.3676 0.0000  4 Cu 2.76
Sc: 0.1976 0.5000 0.0000  4 Cu 2.76
Sc: 0.2467 0.1697 0.0000  2 Cu 2.70, 2 Cd 3.00
Cd: 0.0000 0.5000 0.5000  4 Cu 2.90, 8 Sc 3.24
Cd: 0.1074 0.2600 0.5000  1 Cu 2.99, 1 Cd 2.99, 8 Sc 3.03-3.19
Cd: 0.1432 0.0733 0.5000  1 Cu 2.96, 8 Sc 3.00-3.18, 1 Cd 3.05
Cu: 0.1473 0.4013 0.5000  6 Sc 2.70-2.76, 3 Cd 2.90-2.99

## Properties
formation enthalpy at 0 K = -0.290 eV per atom
M_tot = 0.00 μB per formula unit
final energy = -4.2174 eV per atom
D(E_F) = 0.855 states/eV per atom
theoretical density = 5.925 Mg/m³

3.
DFT (PBE) results for a relaxed structure of Sc4CdCu.

a = 3.2803 Å, b = 3.2803 Å, c = 12.0155 Å
α = 90.00°, β = 90.00°, γ = 90.00°
Closest atoms and distances in Å follow each position.
Space group P4/mmm (No. 123)
Symmetry-distinct sites (fractional):
Sc: 0.0000 0.0000 0.1351  4 Cu 2.83
Sc: 0.5000 0.5000 0.3275  4 Cd 3.11, 8 Sc 3.27-3.28
Cd: 0.0000 0.0000 0.5000  8 Sc 3.11, 4 Cd 3.28
Cu: 0.5000 0.5000 0.0000  8 Sc 2.83

## Properties
formation enthalpy at 0 K = -0.164 eV per atom
M_tot = 2.09 μB per formula unit
final energy = -5.2202 eV per atom
D(E_F) = 1.105 states/eV per atom
theoretical density = 4.570 Mg/m³

4.
DFT (PBE) results for a relaxed structure of ScCdCu.

a = 6.4797 Å, b = 6.4797 Å, c = 6.4797 Å
α = 90.00°, β = 90.00°, γ = 90.00°
Closest atoms and distances in Å follow each position.
Space group F-43m (No. 216)
Symmetry-distinct sites (fractional):
Sc: 0.0000 0.0000 0.0000  4 Cu 2.81, 4 Cd 2.81
Cd: 0.2500 0.2500 0.2500  4 Sc 2.81
Cu: 0.2500 0.2500 0.7500  4 Sc 2.81

## Properties
formation enthalpy at 0 K = 0.325 eV per atom
M_tot = 0.00 μB per formula unit
final energy = -3.4560 eV per atom
D(E_F) = 0.723 states/eV per atom
theoretical density = 5.393 Mg/m³

5.
DFT (PBE) results for a relaxed structure of ScCdCu.

a = 4.5812 Å, b = 4.5812 Å, c = 3.1000 Å
α = 90.00°, β = 90.00°, γ = 120.00°
Closest atoms and distances in Å follow each position.
Space group P-6m2 (No. 187)
Symmetry-distinct sites (fractional):
Sc: 0.0000 0.0000 0.0000  6 Cd 3.07, 6 Cu 3.07, 2 Sc 3.10
Cd: 0.6667 0.3333 0.5000  3 Cu 2.64
Cu: 0.3333 0.6667 0.5000  3 Cd 2.64

## Properties
formation enthalpy at 0 K = -0.162 eV per atom
M_tot = 0.00 μB per formula unit
final energy = -3.9430 eV per atom
D(E_F) = 0.503 states/eV per atom
theoretical density = 6.511 Mg/m³

6.
DFT (PBE) results for a relaxed structure of Sc4CdCu.

a = 8.1248 Å, b = 4.6804 Å, c = 8.0994 Å
α = 90.00°, β = 109.48°, γ = 90.00°
Closest atoms and distances in Å follow each position.
Space group C2/m (No. 12)
Symmetry-distinct sites (fractional):
Sc: 0.1166 0.0000 0.3483  1 Cu 2.66, 3 Cd 2.94
Sc: 0.1324 0.5000 0.8976  3 Cu 2.81-2.82, 1 Cd 3.04, 3 Sc 3.12
Cd: 0.0000 0.5000 0.5000  8 Sc 2.94-3.04
Cu: 0.0000 0.0000 0.0000  8 Sc 2.66-2.82

## Properties
formation enthalpy at 0 K = 0.110 eV per atom
M_tot = 0.00 μB per formula unit
final energy = -4.9458 eV per atom
D(E_F) = 1.327 states/eV per atom
theoretical density = 4.069 Mg/m³